# Cr2AgGeBi

A relaxed structure of Cr2AgGeBi (PBE-GGA, Alexandria via LeMat-Bulk).

POSCAR file:
```
Cr2AgGeBi
1.0
4.7823 0.0000 0.0000
0.0000 4.7823 0.0000
0.0000 0.0000 5.4941
Cr Ag Ge Bi
2 1 1 1
direct
0.0000 0.5000 0.0000
0.5000 0.0000 0.0000
0.0000 0.0000 0.5000
0.5000 0.5000 0.0000
0.5000 0.5000 0.5000
```

Properties
Total energy in eV/atom: -5.25
SG: P4/mmm, No. 123
E_form in eV/atom: 0.8733
M_tot in μB per formula unit: 7.8